1.
Entry from Alexandria: crystalline CrSi2Ru at its relaxed geometry (PBE).

For the uncorrected formation energy, the calculation gives -210 meV/atom. The value obtained for the total energy is -61.17 eV/cell. The value obtained for the volume is 13.0 Å³ per atom. As for the crystal system: monoclinic. The total magnetic moment is 3.4 μB/cell.

a b c (Å): 7.9184 2.7951 4.7867
angles (deg): 90.00 102.03 90.00
Closest atoms and distances in Å follow each position.
Space group C2/m (No. 12)
Inequivalent atoms, fractional coordinates:
Cr1 0.0000 0.0000 0.0000 [2 per cell]  6 Si 2.50-2.51, 4 Ru 2.77, 2 Cr 2.80
Si1 0.2494 0.0000 0.7544 [4 per cell]  3 Cr 2.50-2.51, 3 Ru 2.52-2.54, 4 Si 2.73-2.80
Ru1 0.0000 0.5000 0.5000 [2 per cell]  6 Si 2.52-2.54, 4 Cr 2.77, 2 Ru 2.80

=====

2.
Entry from Alexandria: crystalline Er2Ge2Rh5 at its relaxed geometry (PBE).

The value obtained for the total energy is -61.86 eV/cell. The value obtained for the volume is 17.1 Å³ per atom. As for the crystal system: tetragonal. The total magnetic moment is 0.0 μB/cell.

a b c (Å): 4.1649 4.1649 8.8908
angles (deg): 90.00 90.00 90.00
Closest atoms and distances in Å follow each position.
Space group P4/mmm (No. 123)
Inequivalent atoms, fractional coordinates:
Er1 0.0000 0.0000 0.0000 [1 per cell]  8 Ge 3.20, 8 Rh 3.20
Er2 0.0000 0.0000 0.5000 [1 per cell]  12 Rh 2.89-2.95
Ge1 0.5000 0.5000 0.1395 [2 per cell]  4 Rh 2.40, 1 Ge 2.48
Rh1 0.0000 0.5000 0.2739 [4 per cell]  2 Ge 2.40
Rh2 0.5000 0.5000 0.5000 [1 per cell]  8 Rh 2.89, 4 Er 2.95, 2 Ge 3.20

=====

3.
Entry from Alexandria: crystalline TlIn3Br4 at its relaxed geometry (PBE).

For the uncorrected formation energy, the calculation gives -699 meV/atom. The value obtained for the total energy is -45.74 eV/cell. The value obtained for the volume is 37.6 Å³ per atom. As for the crystal system: monoclinic. The total magnetic moment is 0.0 μB/cell.

a b c (Å): 13.3953 9.4481 4.7495
angles (deg): 90.00 90.12 90.00
Closest atoms and distances in Å follow each position.
Space group C2/m (No. 12)
Inequivalent atoms, fractional coordinates:
Tl1 0.0000 0.0000 0.0000 [2 per cell]  6 Br 3.36
In1 0.0000 0.5000 0.0000 [2 per cell]  6 Br 3.33-3.34
In2 0.2500 0.2500 0.5000 [4 per cell]  6 Br 3.35
Br1 0.0000 0.2523 0.5000 [4 per cell]  4 In 3.33-3.35, 2 Tl 3.36
Br2 0.2490 0.5000 0.9999 [4 per cell]  5 In 3.34-3.35, 1 Tl 3.36

=====

4.
Entry from Alexandria: crystalline K2ZnSi at its relaxed geometry (PBE).

For the uncorrected formation energy, the calculation gives 256 meV/atom. The value obtained for the total energy is -7.87 eV/cell. The value obtained for the volume is 34.1 Å³ per atom. As for the crystal system: tetragonal. The total magnetic moment is 0.0 μB/cell.

a b c (Å): 3.6930 3.6930 9.9989
angles (deg): 90.00 90.00 90.00
Closest atoms and distances in Å follow each position.
Space group P4mm (No. 99)
Inequivalent atoms, fractional coordinates:
K1 0.0000 0.0000 0.0000 [1 per cell]  1 Si 3.27
K2 0.5000 0.5000 0.4085 [1 per cell]  1 Zn 3.16
Zn1 0.5000 0.5000 0.7247 [1 per cell]  4 Si 2.66
Si1 0.0000 0.0000 0.6726 [1 per cell]  4 Zn 2.66

=====

5.
Entry from Alexandria: crystalline SmEr6Tm at its relaxed geometry (PBE).

The value obtained for the total energy is -69.55 eV/cell. The value obtained for the volume is 31.4 Å³ per atom. As for the crystal system: monoclinic. The total magnetic moment is 0.0 μB/cell.

a b c (Å): 6.4870 11.7166 6.6069
angles (deg): 90.00 90.30 90.00
Closest atoms and distances in Å follow each position.
Space group C2/m (No. 12)
Inequivalent atoms, fractional coordinates:
Sm1 0.0000 0.0000 0.0000 [2 per cell]  2 Tm 3.30, 8 Er 3.45-3.65
Er1 0.0005 0.5000 0.2511 [4 per cell]  6 Er 3.29-3.47, 2 Tm 3.63-3.65, 2 Sm 3.64-3.65
Er2 0.1827 0.2380 0.2514 [8 per cell]  6 Er 3.26-3.47, 1 Tm 3.45, 1 Sm 3.45
Tm1 0.0000 0.0000 0.5000 [2 per cell]  2 Sm 3.30, 8 Er 3.45-3.65

=====

6.
Entry from Alexandria: crystalline Pr8PSe3S4 at its relaxed geometry (PBE).

For the uncorrected formation energy, the calculation gives -1917 meV/atom. The value obtained for the total energy is -303.82 eV/cell. The value obtained for the volume is 25.9 Å³ per atom. As for the crystal system: trigonal. The total magnetic moment is 0.0 μB/cell.

a b c (Å): 8.3674 8.3674 20.4831
angles (deg): 90.00 90.00 120.00
Closest atoms and distances in Å follow each position.
Space group R-3m (No. 166, hexagonal axes)
Inequivalent atoms, fractional coordinates:
Pr1 0.0000 0.0000 0.2424 [6 per cell]  3 S 2.87, 3 Se 3.05
Pr2 0.0147 0.5073 0.7531 [18 per cell]  3 S 2.88-3.01, 1 P 2.91, 2 Se 3.04
P1 0.0000 0.0000 0.0000 [3 per cell]  6 Pr 2.91
Se1 0.0000 0.5000 0.0000 [9 per cell]  6 Pr 3.04-3.05
S1 0.0000 0.0000 0.5000 [3 per cell]  6 Pr 3.01
S2 0.0000 0.5000 0.5000 [9 per cell]  6 Pr 2.87-2.88

=====

7.
Entry from Alexandria: crystalline K4FeP at its relaxed geometry (PBE).

The value obtained for the total energy is -50.76 eV/cell. The value obtained for the volume is 35.6 Å³ per atom. As for the crystal system: cubic. The total magnetic moment is 12.6 μB/cell.

a b c (Å): 9.4908 9.4908 9.4908
angles (deg): 90.00 90.00 90.00
Closest atoms and distances in Å follow each position.
Space group F-43m (No. 216)
Inequivalent atoms, fractional coordinates:
K1 0.1234 0.1234 0.1234 [16 per cell]  6 K 3.31-3.40
Fe1 0.0000 0.0000 0.5000 [4 per cell]  12 K 3.94, 4 P 4.11
P1 0.2500 0.2500 0.7500 [4 per cell]  12 K 3.93, 4 Fe 4.11

=====

8.
Entry from Alexandria: crystalline Tb3Al2BRu3 at its relaxed geometry (PBE).

The value obtained for the total energy is -58.85 eV/cell. The value obtained for the volume is 18.0 Å³ per atom. As for the crystal system: hexagonal. The total magnetic moment is 0.0 μB/cell.

a b c (Å): 7.2972 7.2972 3.5105
angles (deg): 90.00 90.00 120.00
Closest atoms and distances in Å follow each position.
Space group P-62m (No. 189)
Inequivalent atoms, fractional coordinates:
Tb1 0.0000 0.3601 0.0000 [3 per cell]  1 B 2.63, 4 Ru 2.90, 4 Al 2.93
Al1 0.3333 0.6667 0.5000 [2 per cell]  3 Ru 2.89, 6 Tb 2.93
B1 0.0000 0.0000 0.0000 [1 per cell]  6 Ru 2.42, 3 Tb 2.63
Ru1 0.0000 0.7713 0.5000 [3 per cell]  2 B 2.42